1) # PBE CaPuSb2, relaxed
data_CaPuSb2
_chemical_formula_sum 'Ca1 Pu1 Sb2'
_symmetry_space_group_name_H-M 'P 1'
_symmetry_Int_Tables_number 1
_symmetry_space_group_name_Hall 'P 1'
_cell_length_a 5.755
_cell_length_b 5.755
_cell_length_c 3.353
_cell_angle_alpha 90.00
_cell_angle_beta 90.00
_cell_angle_gamma 90.00
loop_
_atom_site_label
_atom_site_fract_x
_atom_site_fract_y
_atom_site_fract_z
Ca1 0.000 0.000 0.000
Pu1 0.500 0.500 0.000
Sb1 0.000 0.500 0.500
Sb2 0.500 0.000 0.500
# Size of the total moment ... 5.46 μB/cell
# SG ... P4/mmm, No. 123

***

2) # PBE CaPuSb2, relaxed
data_CaPuSb2
_chemical_formula_sum 'Ca2 Pu2 Sb4'
_symmetry_space_group_name_H-M 'P 1'
_symmetry_Int_Tables_number 1
_symmetry_space_group_name_Hall 'P 1'
_cell_length_a 7.771
_cell_length_b 7.771
_cell_length_c 7.771
_cell_angle_alpha 132.22
_cell_angle_beta 132.22
_cell_angle_gamma 69.88
loop_
_atom_site_label
_atom_site_fract_x
_atom_site_fract_y
_atom_site_fract_z
Ca1 0.375 0.625 0.750
Ca2 0.625 0.375 0.250
Pu1 0.125 0.875 0.250
Pu2 0.875 0.125 0.750
Sb1 0.116 0.366 0.750
Sb2 0.366 0.116 0.250
Sb3 0.634 0.884 0.750
Sb4 0.884 0.634 0.250
# Size of the total moment ... 8.91 μB/cell
# SG ... I4_1/amd, No. 141

***

Ranking the structures above from most stable to least stable yields 2), 1).